First-principles (GGA-PBE) data for a geometry-optimized BaSrTcSe2 structure, as listed in Alexandria.

Lattice parameters (Å, degrees): 5.3383 5.3383 5.0352 90.00 90.00 90.00
With the nearest neighbours (Å) after each atom.
Space group P4/mmm (No. 123)
Symmetry-distinct sites (fractional):
Ba: 0.0000 0.0000 0.0000 (multiplicity 1)  8 Se 3.67, 4 Sr 3.77
Sr: 0.5000 0.5000 0.0000 (multiplicity 1)  2 Tc 2.52
Tc: 0.5000 0.5000 0.5000 (multiplicity 1)  2 Sr 2.52, 4 Se 2.67
Se: 0.0000 0.5000 0.5000 (multiplicity 2)  2 Tc 2.67

Calculated values
magnetization	1.145	μB/cell
Fermi-level density of states	2.51	states/eV per cell
formation energy (no corrections)	-0.30	eV/atom
uncorrected energy	-22.5	eV/cell